(1)
NdTiBeN3 | PBE | optimized geometry

## Properties
* energy: -98.3 eV for the cell shown
* uncorrected formation energy: -1.295 eV per atom
* total magnetization: 0.000 μB/atom

Cell and atoms, written as CIF:
```
data_NdTiBeN3
_space_group_name_H-M_alt 'P 1'
_space_group_IT_number 1
_cell_length_a 3.1496
_cell_length_b 6.6815
_cell_length_c 6.8447
_cell_angle_alpha 106.27
_cell_angle_beta 90.00
_cell_angle_gamma 90.00
loop_
_space_group_symop_operation_xyz
'x,y,z'
loop_
_atom_site_label
_atom_site_type_symbol
_atom_site_fract_x
_atom_site_fract_y
_atom_site_fract_z
Ti1 Ti 0.2500 0.6676 0.1517
Ti2 Ti 0.7500 0.3324 0.8483
N1 N 0.7500 0.1782 0.5288
N2 N 0.2500 0.1277 0.8582
Nd1 Nd 0.2500 0.2031 0.2356
N3 N 0.7500 0.4512 0.1578
Be1 Be 0.2500 0.0887 0.6010
N4 N 0.2500 0.5488 0.8422
Be2 Be 0.7500 0.9113 0.3990
Nd2 Nd 0.7500 0.7969 0.7644
N5 N 0.7500 0.8723 0.1418
N6 N 0.2500 0.8218 0.4712
```



(2)
NdUBeN3 | PBE | optimized geometry

## Properties
* energy: -104.4 eV for the cell shown
* uncorrected formation energy: -1.240 eV per atom
* total magnetization: 0.244 μB/atom

Cell and atoms, written as CIF:
```
data_NdUBeN3
_space_group_name_H-M_alt 'P 1'
_space_group_IT_number 1
_cell_length_a 3.3404
_cell_length_b 7.2261
_cell_length_c 6.9705
_cell_angle_alpha 100.78
_cell_angle_beta 90.00
_cell_angle_gamma 90.00
loop_
_space_group_symop_operation_xyz
'x,y,z'
loop_
_atom_site_label
_atom_site_type_symbol
_atom_site_fract_x
_atom_site_fract_y
_atom_site_fract_z
N1 N 0.2500 0.5752 0.8600
N2 N 0.7500 0.4248 0.1400
Nd1 Nd 0.2500 0.1724 0.2111
Nd2 Nd 0.7500 0.8276 0.7889
N3 N 0.2500 0.8422 0.4883
U1 U 0.7500 0.3415 0.8145
Be1 Be 0.7500 0.9269 0.4042
Be2 Be 0.2500 0.0731 0.5958
N4 N 0.2500 0.1223 0.8456
N5 N 0.7500 0.8777 0.1544
U2 U 0.2500 0.6585 0.1855
N6 N 0.7500 0.1578 0.5117
```



(3)
Nd2BeWN5 | PBE | optimized geometry

## Properties
* energy: -149.6 eV for the cell shown
* uncorrected formation energy: -0.775 eV per atom
* total magnetization: 0.077 μB/atom

Cell and atoms, written as CIF:
```
data_Nd2BeWN5
_space_group_name_H-M_alt 'P 1'
_space_group_IT_number 1
_cell_length_a 3.1865
_cell_length_b 7.3087
_cell_length_c 9.9036
_cell_angle_alpha 90.00
_cell_angle_beta 90.00
_cell_angle_gamma 102.59
loop_
_space_group_symop_operation_xyz
'x,y,z'
loop_
_atom_site_label
_atom_site_type_symbol
_atom_site_fract_x
_atom_site_fract_y
_atom_site_fract_z
Be1 Be 0.4592 0.9184 0.4533
N1 N 0.6963 0.3926 0.1461
Nd1 Nd 0.8840 0.7680 0.2045
Nd2 Nd 0.1206 0.2413 0.3218
Nd3 Nd 0.1160 0.2320 0.7045
N2 N 0.3037 0.6074 0.6461
N3 N 0.6597 0.3194 0.5148
N4 N 0.3403 0.6806 0.0148
N5 N 0.6979 0.3958 0.8746
N6 N 0.3021 0.6042 0.3746
Be2 Be 0.5408 0.0816 0.9533
W1 W 0.7917 0.5834 0.5134
W2 W 0.2083 0.4166 0.0134
N7 N 0.9521 0.9042 0.5053
N8 N 0.0479 0.0958 0.0053
N9 N 0.4978 0.9956 0.2903
N10 N 0.5022 0.0044 0.7903
Nd4 Nd 0.8794 0.7587 0.8218
```



(4)
NdZrBeN3 | PBE | optimized geometry

## Properties
* energy: -100.2 eV for the cell shown
* uncorrected formation energy: -1.343 eV per atom
* total magnetization: 0.000 μB/atom

Cell and atoms, written as CIF:
```
data_NdZrBeN3
_space_group_name_H-M_alt 'P 1'
_space_group_IT_number 1
_cell_length_a 3.2721
_cell_length_b 7.0110
_cell_length_c 6.8946
_cell_angle_alpha 103.17
_cell_angle_beta 90.00
_cell_angle_gamma 90.00
loop_
_space_group_symop_operation_xyz
'x,y,z'
loop_
_atom_site_label
_atom_site_type_symbol
_atom_site_fract_x
_atom_site_fract_y
_atom_site_fract_z
Be1 Be 0.2500 0.0782 0.5994
Zr1 Zr 0.7500 0.3387 0.8284
N1 N 0.7500 0.8746 0.1461
N2 N 0.2500 0.1254 0.8539
Nd1 Nd 0.2500 0.1863 0.2237
N3 N 0.2500 0.8356 0.4838
Be2 Be 0.7500 0.9218 0.4006
N4 N 0.2500 0.5630 0.8353
N5 N 0.7500 0.1644 0.5162
N6 N 0.7500 0.4370 0.1647
Nd2 Nd 0.7500 0.8137 0.7763
Zr2 Zr 0.2500 0.6613 0.1716
```



(5)
NdZr2BeN4 | PBE | optimized geometry

## Properties
* energy: -141.7 eV for the cell shown
* uncorrected formation energy: -1.495 eV per atom
* total magnetization: 0.000 μB/atom

Cell and atoms, written as CIF:
```
data_NdZr2BeN4
_space_group_name_H-M_alt 'P 1'
_space_group_IT_number 1
_cell_length_a 3.2729
_cell_length_b 5.7070
_cell_length_c 10.8676
_cell_angle_alpha 90.00
_cell_angle_beta 90.00
_cell_angle_gamma 106.66
loop_
_space_group_symop_operation_xyz
'x,y,z'
loop_
_atom_site_label
_atom_site_type_symbol
_atom_site_fract_x
_atom_site_fract_y
_atom_site_fract_z
N1 N 0.7334 0.4669 0.6221
Nd1 Nd 0.8989 0.7978 0.2500
N2 N 0.5820 0.1639 0.2500
Be1 Be 0.1753 0.3506 0.2500
N3 N 0.0000 0.0000 0.5000
N4 N 0.4180 0.8361 0.7500
N5 N 0.2666 0.5331 0.1221
Be2 Be 0.8247 0.6494 0.7500
N6 N 0.0000 0.0000 0.0000
Zr1 Zr 0.6311 0.2622 0.0512
Zr2 Zr 0.3689 0.7378 0.9488
Zr3 Zr 0.3689 0.7378 0.5512
N7 N 0.2666 0.5331 0.3779
N8 N 0.7334 0.4669 0.8779
Nd2 Nd 0.1011 0.2022 0.7500
Zr4 Zr 0.6311 0.2622 0.4488
```



(6)
BeNiN3 | PBE | optimized geometry

## Properties
* energy: -25.1 eV for the cell shown
* uncorrected formation energy: 1.881 eV per atom
* total magnetization: 0.588 μB/atom

Cell and atoms, written as CIF:
```
data_BeNiN3
_space_group_name_H-M_alt 'P 1'
_space_group_IT_number 1
_cell_length_a 3.6463
_cell_length_b 3.6463
_cell_length_c 3.6463
_cell_angle_alpha 90.00
_cell_angle_beta 90.00
_cell_angle_gamma 90.00
loop_
_space_group_symop_operation_xyz
'x,y,z'
loop_
_atom_site_label
_atom_site_type_symbol
_atom_site_fract_x
_atom_site_fract_y
_atom_site_fract_z
N1 N 0.5000 0.0000 0.0000
N2 N 0.0000 0.5000 0.0000
N3 N 0.0000 0.0000 0.5000
Ni1 Ni 0.0000 0.0000 0.0000
Be1 Be 0.5000 0.5000 0.5000
```



(7)
BeNiN3 | PBE | optimized geometry

## Properties
* energy: -26.7 eV for the cell shown
* uncorrected formation energy: 1.558 eV per atom
* total magnetization: 0.000 μB/atom

Cell and atoms, written as CIF:
```
data_BeNiN3
_space_group_name_H-M_alt 'P 1'
_space_group_IT_number 1
_cell_length_a 3.4004
_cell_length_b 3.4004
_cell_length_c 3.4004
_cell_angle_alpha 90.00
_cell_angle_beta 90.00
_cell_angle_gamma 90.00
loop_
_space_group_symop_operation_xyz
'x,y,z'
loop_
_atom_site_label
_atom_site_type_symbol
_atom_site_fract_x
_atom_site_fract_y
_atom_site_fract_z
N1 N 0.0000 0.5000 0.0000
Ni1 Ni 0.5000 0.5000 0.5000
N2 N 0.0000 0.0000 0.5000
Be1 Be 0.0000 0.0000 0.0000
N3 N 0.5000 0.0000 0.0000
```



> Which formula does entry 5 have?

NdZr2BeN4



> What is the energy in the sixth record?

-25.1 eV for the cell shown



> What is the uncorrected formation energy in the third record?

-0.775 eV per atom